Here is a geometry-optimized K2NbVO6 structure from Alexandria. Energies are from PBE with a Hubbard U.

Lattice parameters (Å, degrees): 5.3444 5.3444 5.1885 90.00 90.00 90.00
Element x y z (fractional)
K (0.0000, 0.5000, 0.0000)
K (0.5000, 0.0000, 0.0000)
Nb (0.0000, 0.0000, 0.5097)
V (0.5000, 0.5000, 0.5121)
O (0.0000, 0.0000, 0.1603)
O (0.2574, 0.2574, 0.6007)
O (0.2574, 0.7426, 0.6007)
O (0.5000, 0.5000, 0.1898)
O (0.7426, 0.2574, 0.6007)
O (0.7426, 0.7426, 0.6007)

magnetization	0.00	μB per cell
energy	-0.2618	Ha/atom
V	14.8	A^3/atom